! CrSi2Os | Alexandria via LeMat-Bulk | GGA-PBE | relaxed; values from VASP
&SYSTEM
  ibrav = 0, nat = 4, ntyp = 3
/
ATOMIC_SPECIES
Cr 52.00 Cr.upf
Si 28.09 Si.upf
Os 190.23 Os.upf
CELL_PARAMETERS angstrom
0.0000 2.9744 2.9744
2.9744 0.0000 2.9744
2.9744 2.9744 0.0000
ATOMIC_POSITIONS angstrom
Cr 0.0000 0.0000 0.0000
Si 2.9744 2.9744 2.9744
Si 4.4616 4.4616 4.4616
Os 1.4872 1.4872 1.4872
! Final energy (eV/cell): -30.8
! Energy relative to the elements, uncorrected (eV/atom): 0.212
! Fermi-level density of states (states/eV per cell): 4.344
! Size of the total moment (Bohr magnetons per cell): 0.30